The following is a GGA+U calculation of V2PbF6 after structural relaxation, from Alexandria.

Final energy = -5.884 eV/atom
Size of the total moment = 0.667 μB/atom
Mass density = 4.9 g/cm3
Space-group type = P-31m, No. 162

abc: 5.6211 5.6211 5.2178
angles: 90.00 90.00 120.00
Positions (direct):
V: 0.3333 0.6667 0.0000
V: 0.6667 0.3333 0.0000
Pb: 0.0000 0.0000 0.5000
F: 0.0000 0.3577 0.2151
F: 0.0000 0.6423 0.7849
F: 0.3577 0.0000 0.2151
F: 0.3577 0.3577 0.7849
F: 0.6423 0.0000 0.7849
F: 0.6423 0.6423 0.2151